{
  "formula": "Nd2Dy15Er2",
  "functional": "PBE-GGA",
  "state": "relaxed",
  "e_form_mev_per_atom": 276,
  "final_energy_ev_per_atom": -4.340,
  "n_ef_per_ev_cell": 36.10,
  "lattice": [[5.609, 3.238, 5.829], [-5.609, 3.238, 5.829], [0.000, -6.476, 5.829]],
  "species": ["Nd", "Nd", "Dy", "Dy", "Dy", "Dy", "Dy", "Dy", "Dy", "Dy", "Dy", "Dy", "Dy", "Dy", "Dy", "Dy", "Dy", "Er", "Er"],
  "frac_coords": [[0.173, 0.173, 0.173], [0.827, 0.827, 0.827], [0.000, 0.500, 0.500], [0.132, 0.132, 0.649], [0.132, 0.649, 0.132], [0.203, 0.500, 0.797], [0.203, 0.797, 0.500], [0.351, 0.868, 0.868], [0.500, 0.000, 0.500], [0.500, 0.203, 0.797], [0.500, 0.500, 0.000], [0.500, 0.797, 0.203], [0.649, 0.132, 0.132], [0.797, 0.203, 0.500], [0.797, 0.500, 0.203], [0.868, 0.351, 0.868], [0.868, 0.868, 0.351], [0.404, 0.404, 0.404], [0.596, 0.596, 0.596]]
}

---

{
  "formula": "Nd8Dy6Er",
  "functional": "PBE-GGA",
  "state": "relaxed",
  "e_form_mev_per_atom": 122,
  "final_energy_ev_per_atom": -4.566,
  "n_ef_per_ev_cell": 22.73,
  "lattice": [[4.575, 2.641, 6.985], [-4.575, 2.641, 6.985], [0.000, -5.282, 6.985]],
  "species": ["Nd", "Nd", "Nd", "Nd", "Nd", "Nd", "Nd", "Nd", "Dy", "Dy", "Dy", "Dy", "Dy", "Dy", "Er"],
  "frac_coords": [[0.078, 0.078, 0.078], [0.217, 0.613, 0.251], [0.251, 0.217, 0.613], [0.387, 0.749, 0.783], [0.613, 0.251, 0.217], [0.749, 0.783, 0.387], [0.783, 0.387, 0.749], [0.922, 0.922, 0.922], [0.040, 0.597, 0.746], [0.254, 0.960, 0.403], [0.403, 0.254, 0.960], [0.597, 0.746, 0.040], [0.746, 0.040, 0.597], [0.960, 0.403, 0.254], [0.500, 0.500, 0.500]]
}

---

{
  "formula": "Nd2Dy4Er3",
  "functional": "PBE-GGA",
  "state": "relaxed",
  "e_form_mev_per_atom": 94,
  "final_energy_ev_per_atom": -4.531,
  "n_ef_per_ev_cell": 25.67,
  "lattice": [[8.348, -5.814, 0.000], [8.348, 5.814, 0.000], [-0.748, 0.000, 5.915]],
  "species": ["Nd", "Nd", "Nd", "Nd", "Dy", "Dy", "Dy", "Dy", "Dy", "Dy", "Dy", "Dy", "Er", "Er", "Er", "Er", "Er", "Er"],
  "frac_coords": [[0.008, 0.782, 0.719], [0.218, 0.992, 0.781], [0.782, 0.008, 0.219], [0.992, 0.218, 0.281], [0.124, 0.340, 0.873], [0.332, 0.544, 0.956], [0.340, 0.124, 0.373], [0.456, 0.668, 0.544], [0.544, 0.332, 0.456], [0.660, 0.876, 0.627], [0.668, 0.456, 0.044], [0.876, 0.660, 0.127], [0.152, 0.848, 0.250], [0.184, 0.487, 0.413], [0.487, 0.184, 0.913], [0.513, 0.816, 0.087], [0.816, 0.513, 0.587], [0.848, 0.152, 0.750]]
}

---

{
  "formula": "Nd7Dy4Er",
  "functional": "PBE-GGA",
  "state": "relaxed",
  "e_form_mev_per_atom": 218,
  "final_energy_ev_per_atom": -4.478,
  "n_ef_per_ev_cell": 19.19,
  "lattice": [[8.108, -3.004, 0.000], [8.108, 3.004, 0.000], [-4.140, 0.000, 8.452]],
  "species": ["Nd", "Nd", "Nd", "Nd", "Nd", "Nd", "Nd", "Dy", "Dy", "Dy", "Dy", "Er"],
  "frac_coords": [[0.000, 0.000, 0.000], [0.290, 0.290, 0.119], [0.291, 0.291, 0.769], [0.417, 0.417, 0.557], [0.583, 0.583, 0.443], [0.709, 0.709, 0.231], [0.710, 0.710, 0.881], [0.072, 0.072, 0.697], [0.172, 0.172, 0.388], [0.828, 0.828, 0.612], [0.928, 0.928, 0.303], [0.500, 0.500, 0.000]]
}

---

{
  "formula": "Nd7DyEr12",
  "functional": "PBE-GGA",
  "state": "relaxed",
  "e_form_mev_per_atom": 655,
  "final_energy_ev_per_atom": -3.982,
  "n_ef_per_ev_cell": 28.58,
  "lattice": [[-5.628, 5.628, 5.628], [5.628, -5.628, 5.628], [5.628, 5.628, -5.628]],
  "species": ["Nd", "Nd", "Nd", "Nd", "Nd", "Nd", "Nd", "Dy", "Er", "Er", "Er", "Er", "Er", "Er", "Er", "Er", "Er", "Er", "Er", "Er"],
  "frac_coords": [[0.000, 0.000, 0.500], [0.000, 0.500, 0.000], [0.000, 0.500, 0.500], [0.500, 0.000, 0.000], [0.500, 0.000, 0.500], [0.500, 0.500, 0.000], [0.500, 0.500, 0.500], [0.000, 0.000, 0.000], [0.000, 0.246, 0.754], [0.000, 0.754, 0.246], [0.246, 0.000, 0.754], [0.246, 0.246, 0.493], [0.246, 0.493, 0.246], [0.246, 0.754, 0.000], [0.493, 0.246, 0.246], [0.507, 0.754, 0.754], [0.754, 0.000, 0.246], [0.754, 0.246, 0.000], [0.754, 0.507, 0.754], [0.754, 0.754, 0.507]]
}

---

{
  "formula": "Nd4DyEr7",
  "functional": "PBE-GGA",
  "state": "relaxed",
  "e_form_mev_per_atom": 271,
  "final_energy_ev_per_atom": -4.363,
  "n_ef_per_ev_cell": 20.02,
  "lattice": [[6.045, -2.943, 0.000], [6.045, 2.943, 0.000], [-6.023, 0.000, 11.279]],
  "species": ["Nd", "Nd", "Nd", "Nd", "Dy", "Er", "Er", "Er", "Er", "Er", "Er", "Er"],
  "frac_coords": [[0.140, 0.140, 0.277], [0.281, 0.281, 0.836], [0.719, 0.719, 0.164], [0.860, 0.860, 0.723], [0.500, 0.500, 0.500], [0.000, 0.000, 0.500], [0.132, 0.132, 0.994], [0.288, 0.288, 0.576], [0.430, 0.430, 0.190], [0.570, 0.570, 0.810], [0.712, 0.712, 0.424], [0.868, 0.868, 0.006]]
}

---

Please write out number 1 again, unchanged.
{
  "formula": "Nd2Dy15Er2",
  "functional": "PBE-GGA",
  "state": "relaxed",
  "e_form_mev_per_atom": 276,
  "final_energy_ev_per_atom": -4.340,
  "n_ef_per_ev_cell": 36.10,
  "lattice": [[5.609, 3.238, 5.829], [-5.609, 3.238, 5.829], [0.000, -6.476, 5.829]],
  "species": ["Nd", "Nd", "Dy", "Dy", "Dy", "Dy", "Dy", "Dy", "Dy", "Dy", "Dy", "Dy", "Dy", "Dy", "Dy", "Dy", "Dy", "Er", "Er"],
  "frac_coords": [[0.173, 0.173, 0.173], [0.827, 0.827, 0.827], [0.000, 0.500, 0.500], [0.132, 0.132, 0.649], [0.132, 0.649, 0.132], [0.203, 0.500, 0.797], [0.203, 0.797, 0.500], [0.351, 0.868, 0.868], [0.500, 0.000, 0.500], [0.500, 0.203, 0.797], [0.500, 0.500, 0.000], [0.500, 0.797, 0.203], [0.649, 0.132, 0.132], [0.797, 0.203, 0.500], [0.797, 0.500, 0.203], [0.868, 0.351, 0.868], [0.868, 0.868, 0.351], [0.404, 0.404, 0.404], [0.596, 0.596, 0.596]]
}